[1]
Sr2TlZn4Ag3: optimized geometry, PBE.

```
data_Sr2TlZn4Ag3
_symmetry_space_group_name_H-M 'P -4 m 2'
_symmetry_Int_Tables_number 115
_cell_length_a 4.502
_cell_length_b 4.502
_cell_length_c 11.466
_cell_angle_alpha 90.00
_cell_angle_beta 90.00
_cell_angle_gamma 90.00
loop_
_symmetry_equiv_pos_as_xyz
'x,y,z'
'y,-x,-z'
'-x,-y,z'
'-y,x,-z'
'-x,y,z'
'-y,-x,-z'
'x,-y,z'
'y,x,-z'
loop_
_atom_site_label
_atom_site_fract_x
_atom_site_fract_y
_atom_site_fract_z
Sr1 0.000 0.500 0.241
Tl1 0.000 0.000 0.500
Zn1 0.000 0.000 0.000
Zn2 0.000 0.500 0.647
Zn3 0.500 0.500 0.000
Ag1 0.000 0.500 0.874
Ag2 0.500 0.500 0.500
```

crystal system	tetragonal

***

[2]
SrTlZnAg: optimized geometry, PBE.

```
data_SrTlZnAg
_symmetry_space_group_name_H-M 'F -4 3 m'
_symmetry_Int_Tables_number 216
_symmetry_space_group_name_Hall 'F -4 2 3'
_cell_length_a 7.392
_cell_length_b 7.392
_cell_length_c 7.392
_cell_angle_alpha 90.00
_cell_angle_beta 90.00
_cell_angle_gamma 90.00
loop_
_atom_site_label
_atom_site_fract_x
_atom_site_fract_y
_atom_site_fract_z
Sr1 0.000 0.000 0.000
Tl1 0.000 0.000 0.500
Zn1 0.250 0.250 0.750
Ag1 0.250 0.250 0.250
```

crystal system	cubic

***

[3]
Sr2TlZn3Ag4: optimized geometry, PBE.

```
data_Sr2TlZn3Ag4
_symmetry_space_group_name_H-M 'P -4 m 2'
_symmetry_Int_Tables_number 115
_cell_length_a 4.657
_cell_length_b 4.657
_cell_length_c 10.975
_cell_angle_alpha 90.00
_cell_angle_beta 90.00
_cell_angle_gamma 90.00
loop_
_symmetry_equiv_pos_as_xyz
'x,y,z'
'y,-x,-z'
'-x,-y,z'
'-y,x,-z'
'-x,y,z'
'-y,-x,-z'
'x,-y,z'
'y,x,-z'
loop_
_atom_site_label
_atom_site_fract_x
_atom_site_fract_y
_atom_site_fract_z
Sr1 0.000 0.500 0.239
Tl1 0.000 0.000 0.500
Zn1 0.000 0.500 0.885
Zn2 0.500 0.500 0.500
Ag1 0.000 0.000 0.000
Ag2 0.000 0.500 0.650
Ag3 0.500 0.500 0.000
```

crystal system	tetragonal

***

| no. | formation energy from the elements (meV per atom) |
| --- | --- |
| 1 | -191 |
| 2 | -156 |
| 3 | -186 |